[1]
! RbNa4Bi2, relaxed, DFT PBE; values from VASP
&SYSTEM
  ibrav = 0, nat = 7, ntyp = 3
/
ATOMIC_SPECIES
Rb 85.47 Rb.upf
Na 22.99 Na.upf
Bi 208.98 Bi.upf
ATOMIC_POSITIONS crystal
Rb 0.0000 0.0000 0.0000
Na 0.5000 0.8161 0.6322
Na 0.0000 0.6709 0.3418
Na 0.5000 0.1839 0.3678
Na 0.0000 0.3291 0.6582
Bi 0.5000 0.6000 0.1999
Bi 0.5000 0.4000 0.8001
CELL_PARAMETERS angstrom
-3.2933 -3.4679 3.2511
3.3444 1.1145 4.5766
-6.4492 5.8004 -0.3457
! Fermi-level density of states: 0.403 states/eV/atom
! calculated total energy: -2.244 eV/atom
! energy of formation: -0.24 eV/atom


[2]
! SiIrPb2, relaxed, DFT PBE; values from VASP
&SYSTEM
  ibrav = 0, nat = 4, ntyp = 3
/
ATOMIC_SPECIES
Ir 192.22 Ir.upf
Pb 207.20 Pb.upf
Si 28.09 Si.upf
ATOMIC_POSITIONS crystal
Ir 0.7500 0.7500 0.7500
Pb 0.0062 0.0062 0.0062
Pb 0.4938 0.4938 0.4938
Si 0.2500 0.2500 0.2500
CELL_PARAMETERS angstrom
-4.0147 -0.7552 -6.1232
-6.0254 -2.6081 -3.3277
-6.2603 1.2816 -3.6534
! E_form (uncorrected): 223 kJ/mol of formula units
! Fermi-level density of states: 0.687 states/eV/atom
! calculated total energy: -4.848 eV/atom


Number 1: total magnetic moment 0.00 μB per formula unit. Number 2: total magnetic moment 0.00 μB per formula unit.